A plane-wave DFT calculation with PBE with a Hubbard U was carried out for crystalline Ce2Be2NiO6 at its relaxed geometry.

Computed properties:
- Calculated density: 5963 kg/m³
- Space group: R-3m
- Electronic total energy: -7.184 eV per atom
- N(E_F): 9.38 states/eV per cell

```
Ce2Be2NiO6
1.0
-0.526 5.165 0.979
-4.583 1.889 1.828
-0.064 1.590 5.831
Ce Be Ni O
2 2 1 6
Direct
0.786 0.786 0.641
0.214 0.214 0.359
0.422 0.422 0.735
0.578 0.578 0.265
0.000 0.000 0.000
0.744 0.744 0.267
0.245 0.744 0.267
0.744 0.245 0.267
0.256 0.755 0.733
0.755 0.256 0.733
0.256 0.256 0.733
```